# 1
# Al2CdIn | Alexandria via LeMat-Bulk | PBE | optimized geometry
# volume: 21.06 Å³/atom
# ΔE_f: 2.73 kcal/mol of atoms
data_Al2CdIn
_chemical_formula_sum 'Al2 Cd1 In1'
_symmetry_space_group_name_H-M 'P 4 m m'
_symmetry_Int_Tables_number 99
_cell_length_a 3.236
_cell_length_b 3.236
_cell_length_c 8.044
_cell_angle_alpha 90.00
_cell_angle_beta 90.00
_cell_angle_gamma 90.00
loop_
_symmetry_equiv_pos_as_xyz
'x,y,z'
'-y,x,z'
'-x,-y,z'
'y,-x,z'
'-x,y,z'
'y,x,z'
'x,-y,z'
'-y,-x,z'
loop_
_atom_site_label
_atom_site_type_symbol
_atom_site_fract_x
_atom_site_fract_y
_atom_site_fract_z
Al1 Al 0.000 0.000 0.000
Al2 Al 0.500 0.500 0.200
Cd1 Cd 0.000 0.000 0.445
In1 In 0.500 0.500 0.741

---

# 2
# AlCdIn2 | Alexandria via LeMat-Bulk | PBE | optimized geometry
# volume: 24.23 Å³/atom
# ΔE_f: 2.94 kcal/mol of atoms
data_AlCdIn2
_chemical_formula_sum 'Al2 Cd2 In4'
_symmetry_space_group_name_H-M 'I m m 2'
_symmetry_Int_Tables_number 44
_cell_length_a 3.087
_cell_length_b 5.383
_cell_length_c 11.661
_cell_angle_alpha 90.00
_cell_angle_beta 90.00
_cell_angle_gamma 90.00
loop_
_symmetry_equiv_pos_as_xyz
'x,y,z'
'-x,-y,z'
'-x,y,z'
'x,-y,z'
'x+1/2,y+1/2,z+1/2'
'-x+1/2,-y+1/2,z+1/2'
'-x+1/2,y+1/2,z+1/2'
'x+1/2,-y+1/2,z+1/2'
loop_
_atom_site_label
_atom_site_type_symbol
_atom_site_fract_x
_atom_site_fract_y
_atom_site_fract_z
Al1 Al 0.000 0.000 0.000
Cd1 Cd 0.000 0.500 0.714
In1 In 0.000 0.000 0.488
In2 In 0.000 0.500 0.275

---

# 3
# AlCd2In2 | Alexandria via LeMat-Bulk | PBE | optimized geometry
# volume: 25.58 Å³/atom
# ΔE_f: 5.20 kcal/mol of atoms
data_AlCd2In2
_chemical_formula_sum 'Al2 Cd4 In4'
_symmetry_space_group_name_H-M 'P 4/m b m'
_symmetry_Int_Tables_number 127
_symmetry_space_group_name_Hall '-P 4 2ab'
_cell_length_a 8.356
_cell_length_b 8.356
_cell_length_c 3.663
_cell_angle_alpha 90.00
_cell_angle_beta 90.00
_cell_angle_gamma 90.00
loop_
_atom_site_label
_atom_site_type_symbol
_atom_site_fract_x
_atom_site_fract_y
_atom_site_fract_z
Al1 Al 0.000 0.000 0.000
Cd1 Cd 0.127 0.373 0.500
In1 In 0.175 0.675 0.000

---

# 4
# Al2CdIn | Alexandria via LeMat-Bulk | PBE | optimized geometry
# volume: 21.30 Å³/atom
# ΔE_f: 4.24 kcal/mol of atoms
data_Al2CdIn
_chemical_formula_sum 'Al2 Cd1 In1'
_symmetry_space_group_name_H-M 'P m m m'
_symmetry_Int_Tables_number 47
_cell_length_a 3.136
_cell_length_b 4.396
_cell_length_c 6.179
_cell_angle_alpha 90.00
_cell_angle_beta 90.00
_cell_angle_gamma 90.00
loop_
_symmetry_equiv_pos_as_xyz
'x,y,z'
'-x,-y,-z'
'-x,-y,z'
'x,y,-z'
'x,-y,-z'
'-x,y,z'
'-x,y,-z'
'x,-y,z'
loop_
_atom_site_label
_atom_site_type_symbol
_atom_site_fract_x
_atom_site_fract_y
_atom_site_fract_z
Al1 Al 0.000 0.000 0.242
Cd1 Cd 0.500 0.500 0.000
In1 In 0.500 0.500 0.500

---

# 5
# Al2CdIn | Alexandria via LeMat-Bulk | PBE | optimized geometry
# volume: 21.63 Å³/atom
# ΔE_f: 4.77 kcal/mol of atoms
data_Al2CdIn
_chemical_formula_sum 'Al4 Cd2 In2'
_symmetry_space_group_name_H-M 'C m m m'
_symmetry_Int_Tables_number 65
_symmetry_space_group_name_Hall '-C 2 2'
_cell_length_a 2.948
_cell_length_b 5.376
_cell_length_c 10.919
_cell_angle_alpha 90.00
_cell_angle_beta 90.00
_cell_angle_gamma 90.00
loop_
_atom_site_label
_atom_site_type_symbol
_atom_site_fract_x
_atom_site_fract_y
_atom_site_fract_z
Al1 Al 0.000 0.000 0.245
Cd1 Cd 0.000 0.500 0.000
In1 In 0.000 0.500 0.500

---

# 6
# AlCdIn2 | Alexandria via LeMat-Bulk | PBE | optimized geometry
# volume: 23.61 Å³/atom
# ΔE_f: 3.02 kcal/mol of atoms
data_AlCdIn2
_chemical_formula_sum 'Al2 Cd2 In4'
_symmetry_space_group_name_H-M 'I m m m'
_symmetry_Int_Tables_number 71
_symmetry_space_group_name_Hall '-I 2 2'
_cell_length_a 4.387
_cell_length_b 5.007
_cell_length_c 8.600
_cell_angle_alpha 90.00
_cell_angle_beta 90.00
_cell_angle_gamma 90.00
loop_
_atom_site_label
_atom_site_type_symbol
_atom_site_fract_x
_atom_site_fract_y
_atom_site_fract_z
Al1 Al 0.000 0.000 0.000
Cd1 Cd 0.000 0.000 0.500
In1 In 0.000 0.500 0.258

---

# 7
# Al2CdIn | Alexandria via LeMat-Bulk | PBE | optimized geometry
# volume: 21.50 Å³/atom
# ΔE_f: 3.08 kcal/mol of atoms
data_Al2CdIn
_chemical_formula_sum 'Al2 Cd1 In1'
_symmetry_space_group_name_H-M 'P 1 m 1'
_symmetry_Int_Tables_number 6
_cell_length_a 2.990
_cell_length_b 3.985
_cell_length_c 7.233
_cell_angle_alpha 90.00
_cell_angle_beta 93.50
_cell_angle_gamma 90.00
loop_
_symmetry_equiv_pos_as_xyz
'x,y,z'
'x,-y,z'
loop_
_atom_site_label
_atom_site_type_symbol
_atom_site_fract_x
_atom_site_fract_y
_atom_site_fract_z
Al1 Al 0.000 0.000 0.000
Al2 Al 0.478 0.500 0.821
Cd1 Cd 0.521 0.500 0.250
In1 In 0.979 0.000 0.553

---

# 8
# AlCdIn2 | Alexandria via LeMat-Bulk | PBE | optimized geometry
# volume: 24.81 Å³/atom
# ΔE_f: 4.17 kcal/mol of atoms
data_AlCdIn2
_chemical_formula_sum 'Al4 Cd4 In8'
_symmetry_space_group_name_H-M 'I -4 2 d'
_symmetry_Int_Tables_number 122
_symmetry_space_group_name_Hall 'I -4 2bw'
_cell_length_a 4.335
_cell_length_b 4.335
_cell_length_c 21.123
_cell_angle_alpha 90.00
_cell_angle_beta 90.00
_cell_angle_gamma 90.00
loop_
_atom_site_label
_atom_site_type_symbol
_atom_site_fract_x
_atom_site_fract_y
_atom_site_fract_z
Al1 Al 0.000 0.000 0.000
Cd1 Cd 0.000 0.000 0.500
In1 In 0.246 0.250 0.125

---

# 9
# AlCdIn2 | Alexandria via LeMat-Bulk | PBE | optimized geometry
# volume: 23.73 Å³/atom
# ΔE_f: 3.18 kcal/mol of atoms
data_AlCdIn2
_chemical_formula_sum 'Al2 Cd2 In4'
_symmetry_space_group_name_H-M 'I -4 m 2'
_symmetry_Int_Tables_number 119
_symmetry_space_group_name_Hall 'I -4 -2'
_cell_length_a 4.713
_cell_length_b 4.713
_cell_length_c 8.548
_cell_angle_alpha 90.00
_cell_angle_beta 90.00
_cell_angle_gamma 90.00
loop_
_atom_site_label
_atom_site_type_symbol
_atom_site_fract_x
_atom_site_fract_y
_atom_site_fract_z
Al1 Al 0.000 0.000 0.000
Cd1 Cd 0.000 0.500 0.750
In1 In 0.000 0.000 0.500
In2 In 0.000 0.500 0.250

---

# 10
# AlCdIn2 | Alexandria via LeMat-Bulk | PBE | optimized geometry
# volume: 23.87 Å³/atom
# ΔE_f: 2.99 kcal/mol of atoms
data_AlCdIn2
_chemical_formula_sum 'Al2 Cd2 In4'
_symmetry_space_group_name_H-M 'C 1 2/m 1'
_symmetry_Int_Tables_number 12
_cell_length_a 10.642
_cell_length_b 3.097
_cell_length_c 5.942
_cell_angle_alpha 90.00
_cell_angle_beta 102.81
_cell_angle_gamma 90.00
loop_
_symmetry_equiv_pos_as_xyz
'x,y,z'
'-x,-y,-z'
'-x,y,-z'
'x,-y,z'
'x+1/2,y+1/2,z'
'-x+1/2,-y+1/2,-z'
'-x+1/2,y+1/2,-z'
'x+1/2,-y+1/2,z'
loop_
_atom_site_label
_atom_site_type_symbol
_atom_site_fract_x
_atom_site_fract_y
_atom_site_fract_z
Al1 Al 0.000 0.000 0.000
Cd1 Cd 0.000 0.500 0.500
In1 In 0.244 0.500 0.244

---

# 11
# AlCdIn2 | Alexandria via LeMat-Bulk | PBE | optimized geometry
# volume: 25.95 Å³/atom
# ΔE_f: 3.77 kcal/mol of atoms
data_AlCdIn2
_chemical_formula_sum 'Al3 Cd3 In6'
_symmetry_space_group_name_H-M 'R 3 m'
_symmetry_Int_Tables_number 160
_symmetry_space_group_name_Hall 'R 3 -2"'
_cell_length_a 4.4976
_cell_length_b 4.4976
_cell_length_c 17.7737
_cell_angle_alpha 90.00
_cell_angle_beta 90.00
_cell_angle_gamma 120.00
loop_
_atom_site_label
_atom_site_type_symbol
_atom_site_fract_x
_atom_site_fract_y
_atom_site_fract_z
Al1 Al 0.0000 0.0000 0.0000
Cd1 Cd 0.0000 0.0000 0.8306
In1 In 0.0000 0.0000 0.4054
In2 In 0.0000 0.0000 0.5945

---

# 12
# KAlCd2In4 | Alexandria via LeMat-Bulk | PBE | optimized geometry
# volume: 28.56 Å³/atom
# ΔE_f: 0.35 kcal/mol of atoms
data_KAlCd2In4
_chemical_formula_sum 'K3 Al3 Cd6 In12'
_symmetry_space_group_name_H-M 'R -3 m'
_symmetry_Int_Tables_number 166
_symmetry_space_group_name_Hall '-R 3 2"'
_cell_length_a 5.0435
_cell_length_b 5.0435
_cell_length_c 31.1173
_cell_angle_alpha 90.00
_cell_angle_beta 90.00
_cell_angle_gamma 120.00
loop_
_atom_site_label
_atom_site_type_symbol
_atom_site_fract_x
_atom_site_fract_y
_atom_site_fract_z
K1 K 0.0000 0.0000 0.0000
Al1 Al 0.0000 0.0000 0.5000
Cd1 Cd 0.0000 0.0000 0.2554
In1 In 0.0000 0.0000 0.1359
In2 In 0.0000 0.0000 0.4067